# LaPm5Tm2Th (PBE, relaxed)
data_LaPm5Tm2Th
_chemical_formula_sum 'La4 Pm20 Tm8 Th4'
_cell_length_a 5.7010
_cell_length_b 20.2452
_cell_length_c 10.5898
_cell_angle_alpha 90.00
_cell_angle_beta 90.00
_cell_angle_gamma 90.00
_symmetry_space_group_name_H-M 'C m c 21'
_symmetry_Int_Tables_number 36
loop_
_symmetry_equiv_pos_as_xyz
'x,y,z'
'-x,-y,z+1/2'
'-x,y,z'
'x,-y,z+1/2'
'x+1/2,y+1/2,z'
'-x+1/2,-y+1/2,z+1/2'
'-x+1/2,y+1/2,z'
'x+1/2,-y+1/2,z+1/2'
loop_
_atom_site_label
_atom_site_type_symbol
_atom_site_fract_x
_atom_site_fract_y
_atom_site_fract_z
La1 La 0.0000 0.0855 0.0000
Pm1 Pm 0.0000 0.0228 0.2942
Pm2 Pm 0.0000 0.1145 0.5824
Pm3 Pm 0.0000 0.2079 0.2588
Pm4 Pm 0.0000 0.2223 0.8714
Pm5 Pm 0.0000 0.4845 0.5793
Tm1 Tm 0.0000 0.3847 0.8730
Tm2 Tm 0.0000 0.3877 0.2913
Th1 Th 0.0000 0.3011 0.5694
# Energy relative to the elements   0.1625 eV/atom
# V   1222.3 Å³/cell
# E   -4.84 eV per atom
# Total magnetization   0.000 μB/atom